# 1
A relaxed structure of Tb6Cu2Pt, computed with PBE-GGA.

```
Tb6Cu2Pt
1.0
-5.942 -5.639 -1.658
5.448 -3.191 5.476
-3.453 6.867 3.283
Tb Cu Pt
12 4 2
Direct
0.184 0.745 0.928 Tb
0.562 0.737 0.825 Tb
0.184 0.255 0.439 Tb
0.700 0.373 0.673 Tb
0.088 0.263 0.825 Tb
0.300 0.627 0.327 Tb
0.816 0.255 0.072 Tb
0.912 0.737 0.175 Tb
0.700 0.027 0.327 Tb
0.438 0.263 0.175 Tb
0.300 0.973 0.673 Tb
0.816 0.745 0.561 Tb
0.500 0.379 0.879 Cu
0.355 0.000 0.355 Cu
0.500 0.621 0.121 Cu
0.645 0.000 0.645 Cu
0.000 0.500 0.500 Pt
0.000 0.000 0.000 Pt
```

Properties
The calculation puts the density of states at the Fermi level at 7.848 states/eV/f.u. Its volume is 224.7 Å³/f.u. Its space group is Immm, No. 71. For the magnetization, the calculation gives 0.00 μB per atom. For the total energy, the calculation gives -0.37083 Ry per atom.


# 2
A relaxed structure of TbCu4Pt, computed with PBE-GGA.

```
TbCu4Pt
1.0
4.998 0.000 0.000
2.499 4.328 0.000
2.499 1.443 4.081
Cu Tb Pt
4 1 1
Direct
0.624 0.624 0.624 Cu
0.127 0.624 0.624 Cu
0.624 0.624 0.127 Cu
0.624 0.127 0.624 Cu
0.000 0.000 0.000 Tb
0.250 0.250 0.250 Pt
```

Properties
The calculation puts the density of states at the Fermi level at 4.416 states/eV/f.u. Its volume is 88.3 Å³/f.u. Its space group is F-43m, No. 216. For the magnetization, the calculation gives 0.00 μB per atom. For the total energy, the calculation gives -0.36061 Ry per atom.


# 3
A relaxed structure of TbCuPt6, computed with PBE-GGA.

```
TbCuPt6
1.0
3.891 0.000 0.000
0.000 3.891 0.000
0.000 0.000 9.649
Tb Pt Cu
1 6 1
Direct
0.000 0.000 0.000 Tb
0.500 0.000 0.674 Pt
0.500 0.500 0.130 Pt
0.000 0.500 0.674 Pt
0.000 0.500 0.326 Pt
0.500 0.000 0.326 Pt
0.500 0.500 0.870 Pt
0.000 0.000 0.500 Cu
```

Properties
For the excess energy over the best structure of this formula in the dataset, the calculation gives 1.94 eV per formula unit. The calculation puts the density of states at the Fermi level at 11.189 states/eV/f.u. Its volume is 146.1 Å³/f.u. Its space group is P4/mmm, No. 123. For the magnetization, the calculation gives 0.00 μB per atom.


# 4
A relaxed structure of TbCuPt, computed with PBE-GGA.

```
TbCuPt
1.0
-3.257 -0.885 -2.605
2.054 -4.327 2.392
-3.500 0.637 4.158
Pt Tb Cu
2 2 2
Direct
0.096 0.192 0.250 Pt
0.904 0.808 0.750 Pt
0.796 0.592 0.250 Tb
0.204 0.408 0.750 Tb
0.500 0.000 0.000 Cu
0.500 0.000 0.500 Cu
```

Properties
For the excess energy over the best structure of this formula in the dataset, the calculation gives 0.00 eV per formula unit. The calculation puts the density of states at the Fermi level at 1.291 states/eV/f.u. Its volume is 57.3 Å³/f.u. Its space group is Cmcm, No. 63. For the magnetization, the calculation gives 0.00 μB per atom.


# 5
A relaxed structure of Tb4CuPt3, computed with PBE-GGA.

```
Tb4CuPt3
1.0
-2.378 0.269 3.829
-3.549 -3.861 -1.933
3.987 -5.151 2.839
Tb Pt Cu
4 3 1
Direct
0.500 0.363 0.689 Tb
0.000 0.643 0.315 Tb
0.500 0.140 0.178 Tb
0.000 0.854 0.818 Tb
0.000 0.338 0.955 Pt
0.500 0.868 0.535 Pt
0.500 0.655 0.047 Pt
0.000 0.138 0.464 Cu
```

Properties
For the excess energy over the best structure of this formula in the dataset, the calculation gives 0.00 eV per formula unit. The calculation puts the density of states at the Fermi level at 5.218 states/eV/f.u. Its volume is 179.3 Å³/f.u. Its space group is Pm, No. 6. For the magnetization, the calculation gives 0.00 μB per atom.


# 6
A relaxed structure of TbCuPt2, computed with PBE-GGA.

```
TbCuPt2
1.0
4.382 0.000 0.000
2.191 3.795 0.000
2.191 1.265 4.544
Cu Tb Pt
1 1 2
Direct
0.500 0.500 0.500 Cu
0.000 0.000 0.000 Tb
0.788 0.788 0.637 Pt
0.212 0.212 0.363 Pt
```

Properties
The calculation puts the density of states at the Fermi level at 1.236 states/eV/f.u. Its volume is 75.6 Å³/f.u. Its space group is R-3m, No. 166. For the magnetization, the calculation gives 0.00 μB per atom. For the total energy, the calculation gives -0.43697 Ry per atom.


# 7
A relaxed structure of TbCuPt2, computed with PBE-GGA.

```
TbCuPt2
1.0
-1.877 -1.455 -4.008
-2.155 -4.125 -0.201
-4.630 -0.188 -0.471
Cu Pt Tb
1 2 1
Direct
0.500 0.500 0.500 Cu
0.250 0.250 0.250 Pt
0.750 0.750 0.750 Pt
0.000 0.000 0.000 Tb
```

Properties
The calculation puts the density of states at the Fermi level at 3.395 states/eV/f.u. Its volume is 71.5 Å³/f.u. Its space group is Fm-3m, No. 225. For the magnetization, the calculation gives 0.00 μB per atom. For the total energy, the calculation gives -0.43077 Ry per atom.


# 8
A relaxed structure of Tb3Cu5Pt12, computed with PBE-GGA.

```
Tb3Cu5Pt12
1.0
13.064 0.000 0.000
-4.355 12.317 0.000
-4.355 -6.158 10.667
Tb Cu Pt
12 20 48
Direct
0.375 0.750 0.625 Tb
0.125 0.875 0.750 Tb
0.750 0.875 0.625 Tb
0.625 0.250 0.375 Tb
0.750 0.375 0.125 Tb
0.875 0.750 0.125 Tb
0.375 0.625 0.250 Tb
0.250 0.625 0.875 Tb
0.625 0.375 0.750 Tb
0.250 0.125 0.375 Tb
0.125 0.250 0.875 Tb
0.875 0.125 0.250 Tb
0.625 0.750 0.875 Cu
0.125 0.750 0.375 Cu
0.500 0.000 0.000 Cu
0.500 0.000 0.500 Cu
0.000 0.500 0.000 Cu
0.250 0.875 0.125 Cu
0.875 0.625 0.750 Cu
0.375 0.125 0.750 Cu
0.500 0.500 0.000 Cu
0.875 0.250 0.625 Cu
0.375 0.250 0.125 Cu
0.000 0.000 0.000 Cu
0.000 0.000 0.500 Cu
0.625 0.875 0.250 Cu
0.750 0.625 0.375 Cu
0.750 0.125 0.875 Cu
0.500 0.500 0.500 Cu
0.125 0.375 0.250 Cu
0.250 0.375 0.625 Cu
0.000 0.500 0.500 Cu
0.338 0.554 0.416 Pt
0.446 0.784 0.862 Pt
0.716 0.138 0.054 Pt
0.838 0.922 0.284 Pt
0.078 0.162 0.216 Pt
0.284 0.422 0.838 Pt
0.662 0.216 0.578 Pt
0.838 0.916 0.054 Pt
0.916 0.078 0.862 Pt
0.162 0.084 0.946 Pt
0.862 0.578 0.916 Pt
0.638 0.054 0.216 Pt
0.416 0.054 0.338 Pt
0.084 0.922 0.138 Pt
0.662 0.446 0.584 Pt
0.784 0.338 0.922 Pt
0.284 0.862 0.946 Pt
0.422 0.138 0.584 Pt
0.862 0.284 0.446 Pt
0.054 0.638 0.716 Pt
0.946 0.362 0.284 Pt
0.416 0.362 0.578 Pt
0.554 0.338 0.916 Pt
0.584 0.946 0.662 Pt
0.922 0.838 0.784 Pt
0.946 0.584 0.162 Pt
0.584 0.638 0.422 Pt
0.362 0.946 0.784 Pt
0.916 0.838 0.554 Pt
0.422 0.284 0.338 Pt
0.338 0.784 0.422 Pt
0.162 0.078 0.716 Pt
0.138 0.422 0.084 Pt
0.554 0.216 0.138 Pt
0.638 0.584 0.922 Pt
0.138 0.716 0.554 Pt
0.578 0.862 0.416 Pt
0.362 0.416 0.078 Pt
0.216 0.554 0.638 Pt
0.784 0.446 0.362 Pt
0.578 0.716 0.662 Pt
0.922 0.084 0.638 Pt
0.054 0.416 0.838 Pt
0.084 0.162 0.446 Pt
0.216 0.662 0.078 Pt
0.078 0.916 0.362 Pt
0.716 0.578 0.162 Pt
0.446 0.662 0.084 Pt
```

Properties
The calculation puts the density of states at the Fermi level at 15.606 states/eV/f.u. Its volume is 429.1 Å³/f.u. Its space group is Ia-3d, No. 230. For the magnetization, the calculation gives 0.00 μB per atom. For the total energy, the calculation gives -0.38226 Ry per atom.


# 9
A relaxed structure of Tb3Cu2Pt5, computed with PBE-GGA.

```
Tb3Cu2Pt5
1.0
3.990 0.000 0.000
0.000 9.598 0.000
0.000 0.000 9.598
Pt Tb Cu
10 6 4
Direct
0.500 0.214 0.072 Pt
0.500 0.428 0.286 Pt
0.500 0.786 0.928 Pt
0.500 0.500 0.000 Pt
0.500 0.000 0.500 Pt
0.500 0.286 0.572 Pt
0.500 0.928 0.214 Pt
0.500 0.714 0.428 Pt
0.500 0.572 0.714 Pt
0.500 0.072 0.786 Pt
0.000 0.175 0.325 Tb
0.000 0.675 0.175 Tb
0.000 0.000 0.000 Tb
0.000 0.825 0.675 Tb
0.000 0.500 0.500 Tb
0.000 0.325 0.825 Tb
0.000 0.881 0.381 Cu
0.000 0.619 0.881 Cu
0.000 0.119 0.619 Cu
0.000 0.381 0.119 Cu
```

Properties
The calculation puts the density of states at the Fermi level at 4.951 states/eV/f.u. Its volume is 183.8 Å³/f.u. Its space group is P4/mbm, No. 127. For the magnetization, the calculation gives 0.00 μB per atom. For the total energy, the calculation gives -0.45170 Ry per atom.


# 10
A relaxed structure of Tb3Cu2Pt6, computed with PBE-GGA.

```
Tb3Cu2Pt6
1.0
-4.537 1.839 6.598
3.321 -7.454 0.952
5.976 5.572 -0.854
Tb Pt Cu
6 12 4
Direct
0.000 0.699 0.699 Tb
0.301 0.301 0.000 Tb
0.699 0.699 0.000 Tb
0.000 0.301 0.301 Tb
0.301 0.000 0.301 Tb
0.699 0.000 0.699 Tb
0.668 0.000 0.332 Pt
0.332 0.000 0.668 Pt
0.332 0.664 0.332 Pt
0.000 0.332 0.668 Pt
0.664 0.332 0.332 Pt
0.668 0.668 0.336 Pt
0.000 0.668 0.332 Pt
0.332 0.668 0.000 Pt
0.336 0.668 0.668 Pt
0.668 0.332 0.000 Pt
0.332 0.332 0.664 Pt
0.668 0.336 0.668 Pt
0.000 0.000 0.500 Cu
0.000 0.500 0.000 Cu
0.500 0.500 0.500 Cu
0.500 0.000 0.000 Cu
```

Properties
The calculation puts the density of states at the Fermi level at 5.530 states/eV/f.u. Its volume is 213.4 Å³/f.u. Its space group is Im-3m, No. 229. For the magnetization, the calculation gives 0.00 μB per atom. For the total energy, the calculation gives -0.45200 Ry per atom.


# 11
A relaxed structure of Tb4CuPt3, computed with PBE-GGA.

```
Tb4CuPt3
1.0
3.770 0.000 0.000
0.000 4.505 0.000
0.000 0.000 10.578
Pt Cu Tb
3 1 4
Direct
0.000 0.500 0.589 Pt
0.000 0.000 0.409 Pt
0.500 0.000 0.924 Pt
0.500 0.500 0.077 Cu
0.500 0.500 0.365 Tb
0.000 0.500 0.859 Tb
0.500 0.000 0.639 Tb
0.000 0.000 0.138 Tb
```

Properties
For the excess energy over the best structure of this formula in the dataset, the calculation gives 0.09 eV per formula unit. The calculation puts the density of states at the Fermi level at 5.440 states/eV/f.u. Its volume is 179.7 Å³/f.u. Its space group is Pmm2, No. 25. For the magnetization, the calculation gives 0.00 μB per atom.


# 12
A relaxed structure of TbCuPt, computed with PBE-GGA.

```
TbCuPt
1.0
-0.593 3.539 0.081
-1.085 -0.085 -4.213
-3.054 -0.582 3.045
Cu Tb Pt
1 1 1
Direct
0.167 0.000 0.000 Cu
0.667 0.667 0.333 Tb
0.167 0.333 0.667 Pt
```

Properties
For the excess energy over the best structure of this formula in the dataset, the calculation gives 0.16 eV per formula unit. The calculation puts the density of states at the Fermi level at 1.626 states/eV/f.u. Its volume is 58.9 Å³/f.u. Its space group is P-6m2, No. 187. For the magnetization, the calculation gives 0.00 μB per atom.


Question: What is the volume in the first record?
Answer: 224.7 Å³/f.u.